No. 1
HfInIrOs: relaxed, PBE. Values from VASP.

Results
The total magnetic moment comes out at 0.0 μB/f.u. The mass density is 16.4 g/cm³. For the total energy, the calculation gives -34.43 eV per cell. For the density of states at the Fermi level, the calculation gives 0.084 states/eV/atom. The volume comes out at 68.3 Å³ per cell. The calculation puts the formation energy at -39.7 kJ per mole of atoms.

The structure in Quantum ESPRESSO input format:
```
&SYSTEM
  ibrav = 0, nat = 4, ntyp = 4
/
ATOMIC_SPECIES
Hf 178.49 Hf.upf
Ir 192.22 Ir.upf
In 114.82 In.upf
Os 190.23 Os.upf
CELL_PARAMETERS angstrom
-3.9707 0.5286 -2.2387
-1.7201 -3.4638 -2.4701
-3.7584 -2.2024 1.4430
ATOMIC_POSITIONS crystal
Hf 0.5000 0.5000 0.5000
Ir 0.7500 0.7500 0.7500
In 0.0000 0.0000 0.0000
Os 0.2500 0.2500 0.2500
```

=====

No. 2
Er2ZrAu: relaxed, PBE. Values from VASP.

Results
The total magnetic moment comes out at 0.0 μB/f.u. The mass density is 10.5 g/cm³. For the total energy, the calculation gives -22.54 eV per cell. For the density of states at the Fermi level, the calculation gives 0.785 states/eV/atom. The volume comes out at 98.6 Å³ per cell. The calculation puts the formation energy at -38.2 kJ per mole of atoms.

The structure in Quantum ESPRESSO input format:
```
&SYSTEM
  ibrav = 0, nat = 4, ntyp = 3
/
ATOMIC_SPECIES
Au 196.97 Au.upf
Er 167.26 Er.upf
Zr 91.22 Zr.upf
CELL_PARAMETERS angstrom
3.4318 0.0000 0.0000
0.0000 3.4318 0.0000
0.0000 0.0000 8.3730
ATOMIC_POSITIONS crystal
Au 0.5000 0.5000 0.0000
Er 0.0000 0.0000 0.2280
Er 0.0000 0.0000 0.7720
Zr 0.5000 0.5000 0.5000
```

=====

No. 3
DyMnCo2: relaxed, PBE. Values from VASP.

Results
The total magnetic moment comes out at 4.5 μB/f.u. The calculation puts the excess energy over the best structure of this formula in the dataset at 0.1027 eV per atom. The mass density is 9.3 g/cm³. For the total energy, the calculation gives -27.72 eV per cell. For the density of states at the Fermi level, the calculation gives 0.923 states/eV/atom. The volume comes out at 59.8 Å³ per cell. The calculation puts the formation energy at 6.4 kJ per mole of atoms.

The structure in Quantum ESPRESSO input format:
```
&SYSTEM
  ibrav = 0, nat = 4, ntyp = 3
/
ATOMIC_SPECIES
Mn 54.94 Mn.upf
Co 58.93 Co.upf
Dy 162.50 Dy.upf
CELL_PARAMETERS angstrom
-1.0152 -1.4470 2.5318
2.3269 -2.0179 -0.2202
3.5699 3.7277 3.5620
ATOMIC_POSITIONS crystal
Mn 0.5000 0.5000 0.0000
Co 0.0000 0.0000 0.2035
Co 0.0000 0.0000 0.7965
Dy 0.5000 0.5000 0.5000
```